Computed, not measured: a PBEsol-optimized structure of RbFeCuF6 at the meta-GGA SCAN level of DFT.

Unit cell a=7.2760 b=7.2760 c=7.2760 alpha=121.75 beta=118.87 gamma=89.48
Closest atoms and distances in Å follow each position.
Fractional coordinates of all 18 atoms:
Rb (0.3555, 0.1055, 0.2500)  5 F 2.92-3.10
Rb (0.6445, 0.8945, 0.7500)  5 F 2.92-3.10
Fe (0.0000, 0.5000, 0.5000)  6 F 1.90-1.98
Fe (0.5000, 0.5000, 0.0000)  6 F 1.90-1.98
Cu (0.0000, 0.0000, 0.5000)  6 F 1.92-2.03
Cu (0.0000, 0.5000, 0.0000)  6 F 1.92-2.03
F (0.0727, 0.4280, 0.2566)  1 Fe 1.90, 1 Cu 2.03
F (0.0727, 0.8161, 0.6447)  1 Fe 1.90, 1 Cu 2.03
F (0.0727, 0.8227, 0.2500)  2 Cu 1.92
F (0.3173, 0.5673, 0.7500)  2 Fe 1.98
F (0.3286, 0.1839, 0.7566)  1 Fe 1.90, 1 Cu 2.03
F (0.3286, 0.5720, 0.1447)  1 Fe 1.90, 1 Cu 2.03
F (0.6714, 0.4280, 0.8553)  1 Fe 1.90, 1 Cu 2.03
F (0.6714, 0.8161, 0.2434)  1 Fe 1.90, 1 Cu 2.03
F (0.6827, 0.4327, 0.2500)  2 Fe 1.98
F (0.9273, 0.1773, 0.7500)  2 Cu 1.92
F (0.9273, 0.1839, 0.3553)  1 Fe 1.90, 1 Cu 2.03
F (0.9273, 0.5720, 0.7434)  1 Fe 1.90, 1 Cu 2.03

## Properties
The space group is Imma. For the spin magnetization, the calculation gives 8.0 μB per cell. The calculation puts the formation energy without anion corrections at -2.436 eV per atom.

=====

Computed, not measured: a PBEsol-optimized structure of Fe2CuSnF at the meta-GGA SCAN level of DFT.

Unit cell a=4.9350 b=4.9350 c=4.7113 alpha=90.00 beta=90.00 gamma=90.00
Closest atoms and distances in Å follow each position.
Fractional coordinates of all 5 atoms:
Fe (0.0000, 0.5000, 0.0000)  2 Sn 2.47
Fe (0.5000, 0.0000, 0.0000)  2 Sn 2.47
Cu (0.0000, 0.0000, 0.5000)  2 Sn 2.36
Sn (0.0000, 0.0000, 0.0000)  2 Cu 2.36, 4 Fe 2.47
F (0.5000, 0.5000, 0.5000)  8 Fe 3.41, 4 Cu 3.49

## Properties
The space group is P4/mmm. For the spin magnetization, the calculation gives 7.7 μB per cell. The calculation puts the formation energy without anion corrections at 0.839 eV per atom.

=====

Computed, not measured: a PBEsol-optimized structure of GaCuO2F at the meta-GGA SCAN level of DFT.

Unit cell a=3.7779 b=3.7779 c=3.7328 alpha=90.00 beta=90.00 gamma=90.00
Closest atoms and distances in Å follow each position.
Fractional coordinates of all 5 atoms:
Ga (0.0000, 0.0000, 0.0000)  8 O 2.66, 4 F 2.67
Cu (0.5000, 0.5000, 0.5000)  2 F 1.87, 4 O 1.89
O (0.0000, 0.5000, 0.5000)  2 Cu 1.89
O (0.5000, 0.0000, 0.5000)  2 Cu 1.89
F (0.5000, 0.5000, 0.0000)  2 Cu 1.87

## Properties
The space group is P4/mmm. For the spin magnetization, the calculation gives 0.0 μB per cell. The calculation puts the formation energy without anion corrections at -0.684 eV per atom.

=====

Computed, not measured: a PBEsol-optimized structure of GaCuO2F at the meta-GGA SCAN level of DFT.

Unit cell a=4.2209 b=4.2209 c=3.5075 alpha=90.00 beta=90.00 gamma=90.00
Closest atoms and distances in Å follow each position.
Fractional coordinates of all 5 atoms:
Ga (0.0000, 0.0000, 0.0000)  2 F 1.75
Cu (0.5000, 0.5000, 0.0000)  8 O 2.74, 4 Ga 2.98
O (0.0000, 0.5000, 0.5000)  2 F 2.11
O (0.5000, 0.0000, 0.5000)  2 F 2.11
F (0.0000, 0.0000, 0.5000)  2 Ga 1.75

## Properties
The space group is P4/mmm. For the spin magnetization, the calculation gives 1.8 μB per cell. The calculation puts the formation energy without anion corrections at 0.407 eV per atom.

=====

Computed, not measured: a PBEsol-optimized structure of Y2GaCuF at the meta-GGA SCAN level of DFT.

Unit cell a=5.2667 b=5.2667 c=4.2992 alpha=90.00 beta=90.00 gamma=90.00
Closest atoms and distances in Å follow each position.
Fractional coordinates of all 5 atoms:
Y (0.0000, 0.5000, 0.0000)  2 Cu 2.63
Y (0.5000, 0.0000, 0.0000)  2 Cu 2.63
Ga (0.0000, 0.0000, 0.5000)  2 Cu 2.15
Cu (0.0000, 0.0000, 0.0000)  2 Ga 2.15
F (0.5000, 0.5000, 0.5000)  8 Y 3.40, 4 Ga 3.72

## Properties
The space group is P4/mmm. For the spin magnetization, the calculation gives 0.0 μB per cell. The calculation puts the formation energy without anion corrections at -0.543 eV per atom.

=====

Computed, not measured: a PBEsol-optimized structure of KCu2P2H3O8F2 at the meta-GGA SCAN level of DFT.

Unit cell a=5.5414 b=5.5414 c=7.7672 alpha=113.27 beta=113.27 gamma=69.77
Closest atoms and distances in Å follow each position.
Fractional coordinates of all 18 atoms:
K (0.0000, 0.0000, 0.0000)  6 O 2.72, 2 F 2.85
Cu (0.0000, 0.5000, 0.5000)  4 O 1.94-2.01
Cu (0.5000, 0.0000, 0.5000)  4 O 1.94-2.01
P (0.4345, 0.4345, 0.2382)  3 O 1.51-1.53, 1 F 1.62
P (0.5655, 0.5655, 0.7618)  3 O 1.51-1.53, 1 F 1.62
H (0.0000, 0.0000, 0.5000)  2 O 1.22
H (0.2024, 0.2024, 0.7127)  1 O 0.98
H (0.7976, 0.7976, 0.2873)  1 O 0.98
O (0.1524, 0.1524, 0.5686)  1 H 0.98
O (0.2621, 0.6684, 0.7309)  1 P 1.53
O (0.3127, 0.3127, 0.3183)  1 P 1.51
O (0.3316, 0.7379, 0.2691)  1 P 1.53
O (0.6684, 0.2621, 0.7309)  1 P 1.53
O (0.6873, 0.6873, 0.6817)  1 P 1.51
O (0.7379, 0.3316, 0.2691)  1 P 1.53
O (0.8476, 0.8476, 0.4314)  1 H 0.98
F (0.3136, 0.3136, 0.0016)  1 P 1.62
F (0.6864, 0.6864, 0.9984)  1 P 1.62

## Properties
The space group is C2/m. For the total energy, the calculation gives -160.41 eV/cell. For the spin magnetization, the calculation gives 2.0 μB per cell.

=====

Computed, not measured: a PBEsol-optimized structure of CuH4O2F2 at the meta-GGA SCAN level of DFT.

Unit cell a=4.8959 b=4.8959 c=3.3207 alpha=103.44 beta=103.44 gamma=94.84
Closest atoms and distances in Å follow each position.
Fractional coordinates of all 9 atoms:
Cu (0.0000, 0.0000, 0.0000)  2 O 1.88, 2 F 1.93
H (0.2282, 0.5470, 0.7917)  1 O 1.00
H (0.4530, 0.7718, 0.2083)  1 O 1.00
H (0.5470, 0.2282, 0.7917)  1 O 1.00
H (0.7718, 0.4530, 0.2083)  1 O 1.00
O (0.2611, 0.7389, 0.0000)  2 H 1.00
O (0.7389, 0.2611, 0.0000)  2 H 1.00
F (0.2351, 0.2351, 0.5398)  2 H 1.57
F (0.7649, 0.7649, 0.4602)  2 H 1.57

## Properties
The space group is C2/m. For the total energy, the calculation gives -60.55 eV/cell. For the spin magnetization, the calculation gives 1.0 μB per cell.

=====

Computed, not measured: a PBEsol-optimized structure of Cu3H2O2F4 at the meta-GGA SCAN level of DFT.

Unit cell a=5.4474 b=4.7862 c=9.7733 alpha=90.00 beta=121.55 gamma=90.00
Closest atoms and distances in Å follow each position.
Fractional coordinates of all 22 atoms:
Cu (0.0000, 0.0000, 0.0000)  2 O 1.91, 2 F 1.95
Cu (0.0000, 0.5000, 0.5000)  2 O 1.91, 2 F 1.95
Cu (0.3380, 0.0536, 0.8262)  2 F 1.92-1.93, 2 O 1.95-1.97
Cu (0.3380, 0.4464, 0.3262)  2 F 1.92-1.93, 2 O 1.95-1.97
Cu (0.6620, 0.5536, 0.6738)  2 F 1.92-1.93, 2 O 1.95-1.97
Cu (0.6620, 0.9464, 0.1738)  2 F 1.92-1.93, 2 O 1.95-1.97
H (0.3400, 0.1304, 0.5553)  1 O 1.02
H (0.3400, 0.3696, 0.0553)  1 O 1.02
H (0.6600, 0.6304, 0.9447)  1 O 1.02
H (0.6600, 0.8696, 0.4447)  1 O 1.02
O (0.3342, 0.1694, 0.0183)  1 H 1.02
O (0.3342, 0.3306, 0.5183)  1 H 1.02
O (0.6658, 0.6694, 0.4817)  1 H 1.02
O (0.6658, 0.8306, 0.9817)  1 H 1.02
F (0.0350, 0.1975, 0.1844)  2 Cu 1.92-1.95
F (0.0350, 0.3025, 0.6844)  2 Cu 1.92-1.95
F (0.3303, 0.6242, 0.1467)  1 H 1.53
F (0.3303, 0.8758, 0.6467)  1 H 1.53
F (0.6697, 0.1242, 0.3533)  1 H 1.53
F (0.6697, 0.3758, 0.8533)  1 H 1.53
F (0.9650, 0.6975, 0.3156)  2 Cu 1.92-1.95
F (0.9650, 0.8025, 0.8156)  2 Cu 1.92-1.95

## Properties
The space group is P2_1/c. For the total energy, the calculation gives -190.46 eV/cell. For the spin magnetization, the calculation gives 6.0 μB per cell.

=====

Computed, not measured: a PBEsol-optimized structure of CuPH4O5F at the meta-GGA SCAN level of DFT.

Unit cell a=7.4666 b=7.6486 c=8.9902 alpha=90.00 beta=113.09 gamma=90.00
Closest atoms and distances in Å follow each position.
Fractional coordinates of all 48 atoms:
Cu (0.1200, 0.1857, 0.0544)  4 O 1.90-1.97
Cu (0.1200, 0.3143, 0.5544)  4 O 1.90-1.97
Cu (0.8800, 0.6857, 0.4456)  4 O 1.90-1.97
Cu (0.8800, 0.8143, 0.9456)  4 O 1.90-1.97
P (0.0514, 0.5090, 0.8191)  3 O 1.51-1.53, 1 F 1.58
P (0.0514, 0.9910, 0.3191)  3 O 1.51-1.53, 1 F 1.58
P (0.9486, 0.0090, 0.6809)  3 O 1.51-1.53, 1 F 1.58
P (0.9486, 0.4910, 0.1809)  3 O 1.51-1.53, 1 F 1.58
H (0.3054, 0.7450, 0.0253)  1 O 1.01
H (0.3054, 0.7550, 0.5253)  1 O 1.01
H (0.4148, 0.5100, 0.6179)  1 O 1.04
H (0.4148, 0.9900, 0.1179)  1 O 1.04
H (0.4477, 0.1733, 0.0383)  1 O 1.02
H (0.4477, 0.3267, 0.5383)  1 O 1.02
H (0.4986, 0.7255, 0.1906)  1 O 1.00
H (0.4986, 0.7745, 0.6906)  1 O 1.00
H (0.5014, 0.2255, 0.3094)  1 O 1.00
H (0.5014, 0.2745, 0.8094)  1 O 1.00
H (0.5523, 0.6733, 0.4617)  1 O 1.02
H (0.5523, 0.8267, 0.9617)  1 O 1.02
H (0.5852, 0.0100, 0.8821)  1 O 1.04
H (0.5852, 0.4900, 0.3821)  1 O 1.04
H (0.6946, 0.2450, 0.4747)  1 O 1.01
H (0.6946, 0.2550, 0.9747)  1 O 1.01
O (0.0837, 0.5245, 0.6613)  1 P 1.53
O (0.0837, 0.9755, 0.1613)  1 P 1.53
O (0.0865, 0.6824, 0.9112)  1 P 1.53, 1 H 1.62
O (0.0865, 0.8176, 0.4112)  1 P 1.53, 1 H 1.62
O (0.1641, 0.1441, 0.4183)  1 P 1.51
O (0.1641, 0.3559, 0.9183)  1 P 1.51
O (0.3971, 0.1241, 0.1196)  2 H 1.02-1.04
O (0.3971, 0.3759, 0.6196)  2 H 1.02-1.04
O (0.4396, 0.7056, 0.5879)  2 H 1.00-1.01
O (0.4396, 0.7944, 0.0879)  2 H 1.00-1.01
O (0.5604, 0.2056, 0.9121)  2 H 1.00-1.01
O (0.5604, 0.2944, 0.4121)  2 H 1.00-1.01
O (0.6029, 0.6241, 0.3804)  2 H 1.02-1.04
O (0.6029, 0.8759, 0.8804)  2 H 1.02-1.04
O (0.8359, 0.6441, 0.0817)  1 P 1.51
O (0.8359, 0.8559, 0.5817)  1 P 1.51
O (0.9135, 0.1824, 0.5888)  1 P 1.53, 1 H 1.62
O (0.9135, 0.3176, 0.0888)  1 P 1.53, 1 H 1.62
O (0.9163, 0.0245, 0.8387)  1 P 1.53
O (0.9163, 0.4755, 0.3387)  1 P 1.53
F (0.1740, 0.5266, 0.2338)  1 P 1.58
F (0.1740, 0.9734, 0.7338)  1 P 1.58
F (0.8260, 0.0266, 0.2662)  1 P 1.58
F (0.8260, 0.4734, 0.7662)  1 P 1.58

## Properties
The space group is P2_1/c. For the total energy, the calculation gives -371.08 eV/cell. For the spin magnetization, the calculation gives 3.9 μB per cell.

=====

Computed, not measured: a PBEsol-optimized structure of CuSb2H12O6F8 at the meta-GGA SCAN level of DFT.

Unit cell a=4.8605 b=17.9511 c=7.5072 alpha=90.00 beta=117.50 gamma=90.00
Closest atoms and distances in Å follow each position.
Fractional coordinates of all 58 atoms:
Cu (0.0000, 0.0000, 0.0000)  4 O 1.95-1.98
Cu (0.0000, 0.5000, 0.5000)  4 O 1.95-1.98
Sb (0.3569, 0.2193, 0.4863)  4 F 1.96-2.17
Sb (0.3569, 0.2807, 0.9863)  4 F 1.96-2.17
Sb (0.6431, 0.7193, 0.0137)  4 F 1.96-2.17
Sb (0.6431, 0.7807, 0.5137)  4 F 1.96-2.17
H (0.1757, 0.1117, 0.8487)  1 O 1.00
H (0.1757, 0.3883, 0.3487)  1 O 1.00
H (0.1786, 0.5880, 0.7944)  1 O 1.00
H (0.1786, 0.9120, 0.2944)  1 O 1.00
H (0.2600, 0.5572, 0.3151)  1 O 1.03
H (0.2600, 0.9428, 0.8151)  1 O 1.03
H (0.2674, 0.6190, 0.4724)  1 O 0.99
H (0.2674, 0.8810, 0.9724)  1 O 0.99
H (0.4028, 0.0220, 0.6618)  1 O 0.99
H (0.4028, 0.4780, 0.1618)  1 O 0.99
H (0.4851, 0.0598, 0.3542)  1 O 1.00
H (0.4851, 0.4402, 0.8542)  1 O 1.00
H (0.5149, 0.5598, 0.1458)  1 O 1.00
H (0.5149, 0.9402, 0.6458)  1 O 1.00
H (0.5972, 0.5220, 0.8382)  1 O 0.99
H (0.5972, 0.9780, 0.3382)  1 O 0.99
H (0.7326, 0.1190, 0.0276)  1 O 0.99
H (0.7326, 0.3810, 0.5276)  1 O 0.99
H (0.7400, 0.0572, 0.1849)  1 O 1.03
H (0.7400, 0.4428, 0.6849)  1 O 1.03
H (0.8214, 0.0880, 0.7056)  1 O 1.00
H (0.8214, 0.4120, 0.2056)  1 O 1.00
H (0.8243, 0.6117, 0.6513)  1 O 1.00
H (0.8243, 0.8883, 0.1513)  1 O 1.00
O (0.0300, 0.0684, 0.8031)  2 H 1.00
O (0.0300, 0.4316, 0.3031)  2 H 1.00
O (0.1333, 0.5796, 0.3803)  2 H 0.99-1.03
O (0.1333, 0.9204, 0.8803)  2 H 0.99-1.03
O (0.4765, 0.5254, 0.2364)  2 H 0.99-1.00
O (0.4765, 0.9746, 0.7364)  2 H 0.99-1.00
O (0.5235, 0.0254, 0.2636)  2 H 0.99-1.00
O (0.5235, 0.4746, 0.7636)  2 H 0.99-1.00
O (0.8667, 0.0796, 0.1197)  2 H 0.99-1.03
O (0.8667, 0.4204, 0.6197)  2 H 0.99-1.03
O (0.9700, 0.5684, 0.6969)  2 H 1.00
O (0.9700, 0.9316, 0.1969)  2 H 1.00
F (0.1922, 0.7235, 0.8499)  1 Sb 1.96
F (0.1922, 0.7765, 0.3499)  1 Sb 1.96
F (0.4290, 0.1896, 0.2537)  1 Sb 2.01
F (0.4290, 0.3104, 0.7537)  1 Sb 2.01
F (0.4327, 0.1764, 0.8872)  2 H 1.63-1.70
F (0.4327, 0.3236, 0.3872)  2 H 1.63-1.70
F (0.4631, 0.1016, 0.5467)  3 H 1.61-1.76
F (0.4631, 0.3984, 0.0467)  3 H 1.61-1.76
F (0.5369, 0.6016, 0.9533)  3 H 1.61-1.76
F (0.5369, 0.8984, 0.4533)  3 H 1.61-1.76
F (0.5673, 0.6764, 0.6128)  2 H 1.63-1.70
F (0.5673, 0.8236, 0.1128)  2 H 1.63-1.70
F (0.5710, 0.6896, 0.2463)  1 Sb 2.01
F (0.5710, 0.8104, 0.7463)  1 Sb 2.01
F (0.8078, 0.2235, 0.6501)  1 Sb 1.96
F (0.8078, 0.2765, 0.1501)  1 Sb 1.96

## Properties
The space group is P2_1/c. For the total energy, the calculation gives -482.44 eV/cell. For the spin magnetization, the calculation gives 2.0 μB per cell.

=====

Computed, not measured: a PBEsol-optimized structure of HfCuF2 at the meta-GGA SCAN level of DFT.

Unit cell a=8.3841 b=8.3841 c=8.3841 alpha=20.88 beta=20.88 gamma=20.88
Closest atoms and distances in Å follow each position.
Fractional coordinates of all 4 atoms:
Hf (0.0000, 0.0000, 0.0000)  2 F 1.93
Cu (0.5000, 0.5000, 0.5000)  6 F 2.79, 6 Cu 3.04
F (0.0786, 0.0786, 0.0786)  1 Hf 1.93
F (0.9214, 0.9214, 0.9214)  1 Hf 1.93

## Properties
The space group is R-3m. For the spin magnetization, the calculation gives 0.0 μB per cell. The calculation puts the formation energy without anion corrections at -1.453 eV per atom.

=====

Computed, not measured: a PBEsol-optimized structure of HfCuO2F at the meta-GGA SCAN level of DFT.

Unit cell a=4.0380 b=4.0380 c=4.0403 alpha=90.00 beta=90.00 gamma=90.00
Closest atoms and distances in Å follow each position.
Fractional coordinates of all 5 atoms:
Hf (0.0000, 0.0000, 0.0000)  4 O 2.02, 2 F 2.02
Cu (0.5000, 0.5000, 0.5000)  4 F 2.86, 8 O 2.86
O (0.0000, 0.5000, 0.0000)  2 Hf 2.02
O (0.5000, 0.0000, 0.0000)  2 Hf 2.02
F (0.0000, 0.0000, 0.5000)  2 Hf 2.02

## Properties
The space group is P4/mmm. For the spin magnetization, the calculation gives 0.1 μB per cell. The calculation puts the formation energy without anion corrections at -2.363 eV per atom.

=====

Question: Which of these has the highest spin magnetization?
Answer: RbFeCuF6